This record from the Alexandria database describes a relaxed structure of SiBi. The functional is PBE-GGA.

Calculated values
total moment = 0.00 μB/cell
calculated volume = 27.04 Å³ per atom
energy = -4.376 eV/atom
formation energy (no corrections) = 0.28 eV per atom

Unit cell a=3.6308 b=4.3220 c=7.7500 alpha=100.30 beta=89.62 gamma=114.97
Last column: nearest neighbours and their distance in Å.
Element x y z (fractional)
1 Bi 0.4167 0.8297 0.6876  3 Si 2.74-2.98
2 Bi 0.5833 0.1703 0.3124  3 Si 2.74-2.98
3 Si 0.2606 0.5240 0.1002  2 Si 2.37
4 Si 0.7394 0.4760 0.8998  2 Si 2.37